# Ce6TlSn | the Alexandria database | PBE-GGA | optimized geometry
# crystal system	triclinic
# energy relative to the lowest polymorph listed for this composition	0.54	eV per formula unit
# spin magnetization	3.27	μB/f.u.
# electronic total energy	-43.558	eV for the cell shown
data_Ce6TlSn
_chemical_formula_sum 'Ce6 Tl1 Sn1'
_cell_length_a 5.991
_cell_length_b 6.000
_cell_length_c 6.247
_cell_angle_alpha 87.09
_cell_angle_beta 86.97
_cell_angle_gamma 80.04
_space_group_name_H-M_alt 'P -1'
_space_group_IT_number 2
loop_
_space_group_symop_operation_xyz
'x,y,z'
'-x,-y,-z'
loop_
_atom_site_label
_atom_site_type_symbol
_atom_site_fract_x
_atom_site_fract_y
_atom_site_fract_z
Ce1 Ce 0.046 0.456 0.252
Ce2 Ce 0.213 0.052 0.486
Ce3 Ce 0.450 0.290 0.015
Tl1 Tl 0.000 0.000 0.000
Sn1 Sn 0.500 0.500 0.500

# Ce6Tl3Sn | the Alexandria database | PBE-GGA | optimized geometry
# crystal system	monoclinic
# spin magnetization	4.60	μB/f.u.
# electronic total energy	-96.821	eV for the cell shown
data_Ce6Tl3Sn
_chemical_formula_sum 'Ce12 Tl6 Sn2'
_cell_length_a 5.998
_cell_length_b 8.978
_cell_length_c 12.171
_cell_angle_alpha 90.00
_cell_angle_beta 119.45
_cell_angle_gamma 90.00
_space_group_name_H-M_alt 'P 1 21/c 1'
_space_group_IT_number 14
loop_
_space_group_symop_operation_xyz
'x,y,z'
'-x,-y,-z'
'-x,y+1/2,-z+1/2'
'x,-y+1/2,z+1/2'
loop_
_atom_site_label
_atom_site_type_symbol
_atom_site_fract_x
_atom_site_fract_y
_atom_site_fract_z
Ce1 Ce 0.026 0.116 0.252
Ce2 Ce 0.075 0.642 0.048
Ce3 Ce 0.472 0.645 0.451
Tl1 Tl 0.000 0.000 0.000
Tl2 Tl 0.444 0.129 0.749
Sn1 Sn 0.500 0.000 0.500